Entry 1:
Compound: In2Ag3Au5
Source: the Alexandria database
Functional: PBE
Structure: relaxed

**Size of the total moment**: 0.00 μB/f.u.
**Space-group type**: Ibam (72)

a b c (Å): 5.3841 9.3236 9.3236
angles (deg): 98.66 73.22 73.22
Closest atoms and distances in Å follow each position.
Fractional positions:
In: 0.1128 0.7287 0.0458  1 Au 2.67, 2 Ag 2.89
In: 0.8872 0.2713 0.9542  1 Au 2.67, 2 Ag 2.89
In: 0.6128 0.0458 0.7287  1 Au 2.67, 2 Ag 2.89
In: 0.3872 0.9542 0.2713  1 Au 2.67, 2 Ag 2.89
Ag: 0.2500 0.0000 0.0000  2 Ag 2.69, 2 Au 2.74, 4 In 2.89
Ag: 0.7500 0.0000 0.0000  2 Ag 2.69, 2 Au 2.74, 4 In 2.89
Ag: 0.4241 0.3976 0.7543  6 Au 2.98-3.29, 1 In 3.09, 2 Ag 3.16
Ag: 0.5759 0.6024 0.2457  6 Au 2.98-3.29, 1 In 3.09, 2 Ag 3.16
Ag: 0.9241 0.7543 0.3976  6 Au 2.98-3.29, 1 In 3.09, 2 Ag 3.16
Ag: 0.0759 0.2457 0.6024  6 Au 2.98-3.29, 1 In 3.09, 2 Ag 3.16
Au: 0.2500 0.5000 0.5000  4 Au 2.69-2.71, 4 Ag 2.98
Au: 0.7500 0.5000 0.5000  4 Au 2.69-2.71, 4 Ag 2.98
Au: 0.5013 0.7487 0.7487  5 Au 2.69-2.82, 1 Ag 2.74
Au: 0.9987 0.2513 0.2513  5 Au 2.69-2.82, 1 Ag 2.74
Au: 0.4987 0.2513 0.2513  5 Au 2.69-2.82, 1 Ag 2.74
Au: 0.0013 0.7487 0.7487  5 Au 2.69-2.82, 1 Ag 2.74
Au: 0.2259 0.4483 0.0998  1 In 2.67, 2 Au 2.82
Au: 0.7741 0.5517 0.9002  1 In 2.67, 2 Au 2.82
Au: 0.7259 0.0998 0.4483  1 In 2.67, 2 Au 2.82
Au: 0.2741 0.9002 0.5517  1 In 2.67, 2 Au 2.82



Entry 2:
Compound: InAg3Au2
Source: the Alexandria database
Functional: PBE
Structure: relaxed

**Size of the total moment**: 0.00 μB/f.u.
**Excess energy over the best structure of this formula in the dataset**: 0.0 kJ/mol of formula units
**Space-group type**: C2/c (15)

a b c (Å): 5.6121 5.6121 7.2859
angles (deg): 83.29 83.29 93.48
Closest atoms and distances in Å follow each position.
Fractional positions:
In: 0.9217 0.0783 0.2500  5 Ag 2.76-2.91, 4 Au 3.04-3.07
In: 0.0783 0.9217 0.7500  5 Ag 2.76-2.91, 4 Au 3.04-3.07
Ag: 0.8244 0.6591 0.5011  3 Ag 2.73-2.82, 2 In 2.79-2.91, 1 Au 3.05
Ag: 0.3409 0.1756 0.9989  3 Ag 2.73-2.82, 2 In 2.79-2.91, 1 Au 3.05
Ag: 0.1756 0.3409 0.4989  3 Ag 2.73-2.82, 2 In 2.79-2.91, 1 Au 3.05
Ag: 0.6591 0.8244 0.0011  3 Ag 2.73-2.82, 2 In 2.79-2.91, 1 Au 3.05
Ag: 0.5836 0.4164 0.2500  4 Ag 2.73-2.82, 1 In 2.76, 2 Au 3.05
Ag: 0.4164 0.5836 0.7500  4 Ag 2.73-2.82, 1 In 2.76, 2 Au 3.05
Au: 0.1255 0.6262 0.1242  2 Au 2.86-2.87, 3 In 3.04-3.21, 8 Ag 3.05-3.18
Au: 0.3738 0.8745 0.3758  2 Au 2.86-2.87, 3 In 3.04-3.21, 8 Ag 3.05-3.18
Au: 0.8745 0.3738 0.8758  2 Au 2.86-2.87, 3 In 3.04-3.21, 8 Ag 3.05-3.18
Au: 0.6262 0.1255 0.6242  2 Au 2.86-2.87, 3 In 3.04-3.21, 8 Ag 3.05-3.18



Entry 3:
Compound: InAg2Au5
Source: the Alexandria database
Functional: PBE
Structure: relaxed

**Size of the total moment**: 0.00 μB/f.u.
**Excess energy over the best structure of this formula in the dataset**: 0.0 kJ/mol of formula units
**Space-group type**: Pbam (55)

a b c (Å): 5.9686 10.1818 9.7112
angles (deg): 90.00 90.00 90.00
Closest atoms and distances in Å follow each position.
Fractional positions:
In: 0.5000 0.4172 0.7449  8 Au 2.94-2.99, 4 Ag 2.98-3.02
In: 0.5000 0.5828 0.2551  8 Au 2.94-2.99, 4 Ag 2.98-3.02
In: 0.5000 0.0828 0.2449  8 Au 2.94-2.99, 4 Ag 2.98-3.02
In: 0.5000 0.9172 0.7551  8 Au 2.94-2.99, 4 Ag 2.98-3.02
Ag: 0.0000 0.9165 0.7507  8 Au 2.93-2.98, 2 Ag 2.97, 2 In 2.98
Ag: 0.0000 0.0835 0.2493  8 Au 2.93-2.98, 2 Ag 2.97, 2 In 2.98
Ag: 0.0000 0.5835 0.2507  8 Au 2.93-2.98, 2 Ag 2.97, 2 In 2.98
Ag: 0.0000 0.4165 0.7493  8 Au 2.93-2.98, 2 Ag 2.97, 2 In 2.98
Ag: 0.7535 0.0000 0.5000  6 Au 2.93, 4 Ag 2.94-3.03, 2 In 3.02
Ag: 0.2465 0.5000 0.0000  6 Au 2.93, 4 Ag 2.94-3.03, 2 In 3.02
Ag: 0.2465 0.0000 0.5000  6 Au 2.93, 4 Ag 2.94-3.03, 2 In 3.02
Ag: 0.7535 0.5000 0.0000  6 Au 2.93, 4 Ag 2.94-3.03, 2 In 3.02
Au: 0.7532 0.1657 0.7471  3 Ag 2.93-2.95, 7 Au 2.95-3.02, 2 In 2.95-2.97
Au: 0.7532 0.8343 0.2529  3 Ag 2.93-2.95, 7 Au 2.95-3.02, 2 In 2.95-2.97
Au: 0.2468 0.3343 0.2471  3 Ag 2.93-2.95, 7 Au 2.95-3.02, 2 In 2.95-2.97
Au: 0.2468 0.6657 0.7529  3 Ag 2.93-2.95, 7 Au 2.95-3.02, 2 In 2.95-2.97
Au: 0.2468 0.8343 0.2529  3 Ag 2.93-2.95, 7 Au 2.95-3.02, 2 In 2.95-2.97
Au: 0.2468 0.1657 0.7471  3 Ag 2.93-2.95, 7 Au 2.95-3.02, 2 In 2.95-2.97
Au: 0.7532 0.6657 0.7529  3 Ag 2.93-2.95, 7 Au 2.95-3.02, 2 In 2.95-2.97
Au: 0.7532 0.3343 0.2471  3 Ag 2.93-2.95, 7 Au 2.95-3.02, 2 In 2.95-2.97
Au: 0.5000 0.2537 0.9951  2 Ag 2.93, 2 In 2.95-2.99, 8 Au 2.98-2.99
Au: 0.5000 0.7463 0.0049  2 Ag 2.93, 2 In 2.95-2.99, 8 Au 2.98-2.99
Au: 0.5000 0.2463 0.4951  2 Ag 2.93, 2 In 2.95-2.99, 8 Au 2.98-2.99
Au: 0.5000 0.7537 0.5049  2 Ag 2.93, 2 In 2.95-2.99, 8 Au 2.98-2.99
Au: 0.0000 0.2511 0.9977  4 Ag 2.93-2.98, 8 Au 2.95-2.98
Au: 0.0000 0.7489 0.0023  4 Ag 2.93-2.98, 8 Au 2.95-2.98
Au: 0.0000 0.2489 0.4977  4 Ag 2.93-2.98, 8 Au 2.95-2.98
Au: 0.0000 0.7511 0.5023  4 Ag 2.93-2.98, 8 Au 2.95-2.98
Au: 0.7525 0.0000 0.0000  2 In 2.94, 8 Au 2.95-3.01, 2 Ag 2.96
Au: 0.2475 0.5000 0.5000  2 In 2.94, 8 Au 2.95-3.01, 2 Ag 2.96
Au: 0.2475 0.0000 0.0000  2 In 2.94, 8 Au 2.95-3.01, 2 Ag 2.96
Au: 0.7525 0.5000 0.5000  2 In 2.94, 8 Au 2.95-3.01, 2 Ag 2.96



no.,final energy (eV per atom),formation enthalpy at 0 K (kJ per mole of atoms)
1,-3.0009,4
2,-2.9912,-2
3,-3.1674,-6